1.
# TlNiIr2 | Alexandria | PBEsol | relaxed
# electronic total energy	-26.37	eV/f.u.
# relative energy among the computed polymorphs	0.168	eV/atom
# spin magnetization	0.0002	μB per atom
# symmetry	No. 65
data_TlNiIr2
_symmetry_space_group_name_H-M 'P 1'
_symmetry_Int_Tables_number 1
_symmetry_space_group_name_Hall 'P 1'
_cell_length_a 4.649
_cell_length_b 4.649
_cell_length_c 2.891
_cell_angle_alpha 90.00
_cell_angle_beta 90.00
_cell_angle_gamma 106.05
loop_
_atom_site_label
_atom_site_type_symbol
_atom_site_fract_x
_atom_site_fract_y
_atom_site_fract_z
_atom_site_occupancy
Tl1 Tl 0.000 0.000 0.000 1
Ni1 Ni 0.500 0.500 0.000 1
Ir1 Ir 0.000 0.500 0.500 1
Ir2 Ir 0.500 0.000 0.500 1

---

2.
# TlNiIr2 | Alexandria | PBEsol | relaxed
# electronic total energy	-27.05	eV/f.u.
# relative energy among the computed polymorphs	0.000	eV/atom
# spin magnetization	0.0040	μB per atom
# symmetry	No. 12
data_TlNiIr2
_symmetry_space_group_name_H-M 'P 1'
_symmetry_Int_Tables_number 1
_symmetry_space_group_name_Hall 'P 1'
_cell_length_a 4.679
_cell_length_b 4.679
_cell_length_c 4.831
_cell_angle_alpha 100.58
_cell_angle_beta 100.58
_cell_angle_gamma 35.20
loop_
_atom_site_label
_atom_site_type_symbol
_atom_site_fract_x
_atom_site_fract_y
_atom_site_fract_z
_atom_site_occupancy
Tl1 Tl 0.000 0.000 0.000 1
Ni1 Ni 0.500 0.500 0.500 1
Ir1 Ir 0.241 0.241 0.722 1
Ir2 Ir 0.759 0.759 0.278 1

---

no.,DFT formation energy (eV per atom)
1,0.52
2,0.35